First-principles (GGA-PBE) data for an optimized crystal structure of BaLi2UI8, as listed in Alexandria.

Cell lengths 7.4309, 7.4309, 10.3549 Å; angles 90.00, 90.00, 120.00 degrees
With the nearest neighbours (Å) after each atom.
Sites, in units of the cell vectors:
1 I 0.3030 0.3300 0.3190  1 Li 2.77, 1 U 3.01
2 I 0.3333 0.6667 0.9977  1 Li 2.63
3 I 0.6667 0.3333 0.0023  1 Li 2.63
4 I 0.6700 0.9730 0.3190  1 Li 2.77, 1 U 3.01
5 I 0.3300 0.0270 0.6810  1 Li 2.77, 1 U 3.01
6 I 0.0270 0.6970 0.3190  1 Li 2.77, 1 U 3.01
7 I 0.6970 0.6700 0.6810  1 Li 2.77, 1 U 3.01
8 I 0.9730 0.3030 0.6810  1 Li 2.77, 1 U 3.01
9 U 0.0000 0.0000 0.5000  6 I 3.01
10 Li 0.3333 0.6667 0.7441  4 I 2.63-2.77
11 Li 0.6667 0.3333 0.2559  4 I 2.63-2.77
12 Ba 0.0000 0.0000 0.0000  12 I 4.06-4.29

Output
The volume is 41.26 A^3/atom. The calculation puts the total energy at -3.5266 eV per atom. The value obtained for the energy relative to the elements, uncorrected is -1.0733 eV per atom. The symmetry is No. 147.